[1]
DFT (PBEsol) results for crystalline Zr2MnInW at its relaxed geometry.

Energy relative to the elements = 5.7 eV per formula unit
Symmetry = P4/mmm

Cell and atoms, written as POSCAR:
```
Zr2MnInW
1.0
4.960 0.000 0.000
0.000 4.960 0.000
0.000 0.000 5.199
Zr Mn In W
2 1 1 1
Cartesian
0.000 2.480 0.000 Zr
2.480 0.000 0.000 Zr
2.480 2.480 2.599 Mn
0.000 0.000 2.599 In
0.000 0.000 0.000 W
```

=====

[2]
DFT (PBEsol) results for crystalline La3C3Cl2 at its relaxed geometry.

E_form (uncorrected) = -1.074 eV per atom
Symmetry = P2_1/c

Cell and atoms, written as POSCAR:
```
La3C3Cl2
1.0
6.832 0.011 0.000
-1.927 7.458 0.000
0.000 0.000 12.777
C Cl La
12 8 12
Cartesian
4.722 7.441 8.076 C
0.183 0.027 4.701 C
6.463 0.864 3.775 C
1.306 7.436 11.090 C
3.048 0.859 2.614 C
3.099 0.454 6.005 C
-1.611 7.009 12.394 C
-1.559 6.604 9.002 C
3.599 0.033 1.687 C
1.805 7.014 6.772 C
1.857 6.610 10.163 C
6.515 0.459 0.383 C
1.099 2.888 10.405 Cl
3.968 4.117 5.647 Cl
3.805 4.580 2.372 Cl
0.389 4.575 4.017 Cl
0.552 4.112 0.741 Cl
4.353 3.357 12.036 Cl
4.515 2.893 8.760 Cl
0.937 3.351 7.130 Cl
5.710 0.907 10.505 La
2.934 5.461 8.303 La
-0.482 5.455 10.862 La
2.610 6.566 4.116 La
-0.806 6.561 2.272 La
-0.703 6.017 6.314 La
5.386 2.013 1.915 La
2.294 0.902 8.661 La
2.192 1.446 12.703 La
2.713 6.023 0.074 La
5.607 1.451 6.463 La
1.970 2.008 4.474 La
```

=====

[3]
DFT (PBEsol) results for crystalline Nd12Mn5C15 at its relaxed geometry.

Energy relative to the elements = -8.1 eV per formula unit
Symmetry = P-62m

Cell and atoms, written as POSCAR:
```
Nd12Mn5C15
1.0
-1.020 2.560 -4.455
-7.903 -6.799 -2.099
-1.944 8.866 5.541
Nd C Mn
12 15 5
Cartesian
-5.857 3.524 3.366 Nd
-3.859 -1.602 -3.117 Nd
-3.036 2.223 1.972 Nd
-7.474 -0.726 1.294 Nd
-4.153 -0.714 0.540 Nd
-6.123 -3.293 -0.491 Nd
-6.785 -4.118 -3.894 Nd
-6.183 2.471 -0.244 Nd
-2.898 5.186 3.644 Nd
-1.334 5.038 0.121 Nd
-2.538 1.706 -1.518 Nd
-2.054 8.320 2.172 Nd
-6.515 -1.836 -2.643 C
-3.724 3.601 -0.158 C
-1.894 0.398 0.662 C
-7.881 0.392 -1.051 C
-6.165 4.903 1.149 C
-3.541 -3.046 -0.940 C
-3.432 6.270 1.309 C
-0.871 3.972 2.482 C
-2.536 -2.182 -0.673 C
-6.382 -5.491 -1.695 C
-0.624 2.845 1.778 C
-1.570 7.160 4.475 C
-6.687 1.404 2.338 C
-4.884 0.552 -1.644 C
-5.435 1.141 1.900 C
-0.299 1.364 0.852 Mn
-8.332 1.749 2.913 Mn
-4.440 4.924 0.767 Mn
-6.426 -0.297 -1.779 Mn
-1.216 -1.046 -0.323 Mn
```

=====

no.,DOS(E_F) (states/eV per atom),energy (eV/atom)
1,1.01,-7.81
2,0.31,-7.20
3,0.38,-8.24